Arrangement w

A relaxed BaSrSe2Br crystal, computed with PBE.

The structure in CIF format:
```
data_BaSrSe2Br
_symmetry_space_group_name_H-M 'P 4/m m m'
_symmetry_Int_Tables_number 123
_symmetry_space_group_name_Hall '-P 4 2'
_cell_length_a 5.7540
_cell_length_b 5.7540
_cell_length_c 5.7896
_cell_angle_alpha 90.00
_cell_angle_beta 90.00
_cell_angle_gamma 90.00
loop_
_atom_site_label
_atom_site_type_symbol
_atom_site_fract_x
_atom_site_fract_y
_atom_site_fract_z
Ba1 Ba 0.0000 0.0000 0.0000
Sr1 Sr 0.5000 0.5000 0.5000
Se1 Se 0.0000 0.5000 0.5000
Br1 Br 0.5000 0.5000 0.0000
```

## Properties
V (A^3/atom): 38.34

=====

Arrangement x

A relaxed BaSrSe2Br crystal, computed with PBE.

The structure in CIF format:
```
data_BaSrSe2Br
_symmetry_space_group_name_H-M 'P 4/m m m'
_symmetry_Int_Tables_number 123
_symmetry_space_group_name_Hall '-P 4 2'
_cell_length_a 5.9761
_cell_length_b 5.9761
_cell_length_c 6.0115
_cell_angle_alpha 90.00
_cell_angle_beta 90.00
_cell_angle_gamma 90.00
loop_
_atom_site_label
_atom_site_type_symbol
_atom_site_fract_x
_atom_site_fract_y
_atom_site_fract_z
Ba1 Ba 0.0000 0.0000 0.0000
Sr1 Sr 0.5000 0.5000 0.5000
Se1 Se 0.0000 0.5000 0.0000
Br1 Br 0.0000 0.0000 0.5000
```

## Properties
V (A^3/atom): 42.94

=====

arrangement w is favored, and the nearest alternative lies 0.333 eV/atom above it.

=====

Arrangement w

A relaxed BaTaSe2Br crystal, computed with PBE.

The structure in CIF format:
```
data_BaTaSe2Br
_symmetry_space_group_name_H-M 'P 4/m m m'
_symmetry_Int_Tables_number 123
_symmetry_space_group_name_Hall '-P 4 2'
_cell_length_a 5.9815
_cell_length_b 5.9815
_cell_length_c 5.8569
_cell_angle_alpha 90.00
_cell_angle_beta 90.00
_cell_angle_gamma 90.00
loop_
_atom_site_label
_atom_site_type_symbol
_atom_site_fract_x
_atom_site_fract_y
_atom_site_fract_z
Ba1 Ba 0.0000 0.0000 0.0000
Ta1 Ta 0.5000 0.5000 0.5000
Se1 Se 0.0000 0.5000 0.0000
Br1 Br 0.0000 0.0000 0.5000
```

## Properties
V (A^3/atom): 41.91

=====

Arrangement x

A relaxed BaTaSe2Br crystal, computed with PBE.

The structure in CIF format:
```
data_BaTaSe2Br
_symmetry_space_group_name_H-M 'P 4/m m m'
_symmetry_Int_Tables_number 123
_symmetry_space_group_name_Hall '-P 4 2'
_cell_length_a 5.1168
_cell_length_b 5.1168
_cell_length_c 5.2794
_cell_angle_alpha 90.00
_cell_angle_beta 90.00
_cell_angle_gamma 90.00
loop_
_atom_site_label
_atom_site_type_symbol
_atom_site_fract_x
_atom_site_fract_y
_atom_site_fract_z
Ba1 Ba 0.0000 0.0000 0.0000
Ta1 Ta 0.5000 0.5000 0.5000
Se1 Se 0.0000 0.5000 0.5000
Br1 Br 0.5000 0.5000 0.0000
```

## Properties
V (A^3/atom): 27.64

=====

arrangement x is favored, and the nearest alternative lies 2.062 eV/atom above it.

=====

Arrangement w

A relaxed BaTcSe2Br crystal, computed with PBE.

The structure in CIF format:
```
data_BaTcSe2Br
_symmetry_space_group_name_H-M 'P 4/m m m'
_symmetry_Int_Tables_number 123
_symmetry_space_group_name_Hall '-P 4 2'
_cell_length_a 4.9802
_cell_length_b 4.9802
_cell_length_c 5.3774
_cell_angle_alpha 90.00
_cell_angle_beta 90.00
_cell_angle_gamma 90.00
loop_
_atom_site_label
_atom_site_type_symbol
_atom_site_fract_x
_atom_site_fract_y
_atom_site_fract_z
Ba1 Ba 0.0000 0.0000 0.0000
Tc1 Tc 0.5000 0.5000 0.5000
Se1 Se 0.0000 0.5000 0.5000
Br1 Br 0.5000 0.5000 0.0000
```

## Properties
V (A^3/atom): 26.67

=====

Arrangement x

A relaxed BaTcSe2Br crystal, computed with PBE.

The structure in CIF format:
```
data_BaTcSe2Br
_symmetry_space_group_name_H-M 'P 4/m m m'
_symmetry_Int_Tables_number 123
_symmetry_space_group_name_Hall '-P 4 2'
_cell_length_a 6.0223
_cell_length_b 6.0223
_cell_length_c 6.0001
_cell_angle_alpha 90.00
_cell_angle_beta 90.00
_cell_angle_gamma 90.00
loop_
_atom_site_label
_atom_site_type_symbol
_atom_site_fract_x
_atom_site_fract_y
_atom_site_fract_z
Ba1 Ba 0.0000 0.0000 0.0000
Tc1 Tc 0.5000 0.5000 0.5000
Se1 Se 0.0000 0.5000 0.0000
Br1 Br 0.0000 0.0000 0.5000
```

## Properties
V (A^3/atom): 43.52

=====

arrangement w is favored, and the nearest alternative lies 1.420 eV/atom above it.

=====

Arrangement w

A relaxed BaTeSeBr2 crystal, computed with PBE.

The structure in CIF format:
```
data_BaTeSeBr2
_symmetry_space_group_name_H-M 'P 4/m m m'
_symmetry_Int_Tables_number 123
_symmetry_space_group_name_Hall '-P 4 2'
_cell_length_a 5.2409
_cell_length_b 5.2409
_cell_length_c 6.8961
_cell_angle_alpha 90.00
_cell_angle_beta 90.00
_cell_angle_gamma 90.00
loop_
_atom_site_label
_atom_site_type_symbol
_atom_site_fract_x
_atom_site_fract_y
_atom_site_fract_z
Ba1 Ba 0.0000 0.0000 0.0000
Te1 Te 0.5000 0.5000 0.0000
Se1 Se 0.0000 0.0000 0.5000
Br1 Br 0.0000 0.5000 0.5000
```

## Properties
V (A^3/atom): 37.88

=====

Arrangement x

A relaxed BaTeSeBr2 crystal, computed with PBE.

The structure in CIF format:
```
data_BaTeSeBr2
_symmetry_space_group_name_H-M 'P 4/m m m'
_symmetry_Int_Tables_number 123
_symmetry_space_group_name_Hall '-P 4 2'
_cell_length_a 6.2070
_cell_length_b 6.2070
_cell_length_c 6.6239
_cell_angle_alpha 90.00
_cell_angle_beta 90.00
_cell_angle_gamma 90.00
loop_
_atom_site_label
_atom_site_type_symbol
_atom_site_fract_x
_atom_site_fract_y
_atom_site_fract_z
Ba1 Ba 0.0000 0.0000 0.0000
Te1 Te 0.5000 0.5000 0.5000
Se1 Se 0.0000 0.0000 0.5000
Br1 Br 0.0000 0.5000 0.0000
```

## Properties
V (A^3/atom): 51.04

=====

arrangement w is favored, and the nearest alternative lies 0.280 eV/atom above it.

=====

Arrangement w

A relaxed BaTiSeBr2 crystal, computed with PBE.

The structure in CIF format:
```
data_BaTiSeBr2
_symmetry_space_group_name_H-M 'P 4/m m m'
_symmetry_Int_Tables_number 123
_symmetry_space_group_name_Hall '-P 4 2'
_cell_length_a 6.0555
_cell_length_b 6.0555
_cell_length_c 6.3055
_cell_angle_alpha 90.00
_cell_angle_beta 90.00
_cell_angle_gamma 90.00
loop_
_atom_site_label
_atom_site_type_symbol
_atom_site_fract_x
_atom_site_fract_y
_atom_site_fract_z
Ba1 Ba 0.0000 0.0000 0.0000
Ti1 Ti 0.5000 0.5000 0.5000
Se1 Se 0.0000 0.0000 0.5000
Br1 Br 0.0000 0.5000 0.0000
```

## Properties
V (A^3/atom): 46.24

=====

Arrangement x

A relaxed BaTiSeBr2 crystal, computed with PBE.

The structure in CIF format:
```
data_BaTiSeBr2
_symmetry_space_group_name_H-M 'P 4/m m m'
_symmetry_Int_Tables_number 123
_symmetry_space_group_name_Hall '-P 4 2'
_cell_length_a 5.2952
_cell_length_b 5.2952
_cell_length_c 5.1689
_cell_angle_alpha 90.00
_cell_angle_beta 90.00
_cell_angle_gamma 90.00
loop_
_atom_site_label
_atom_site_type_symbol
_atom_site_fract_x
_atom_site_fract_y
_atom_site_fract_z
Ba1 Ba 0.0000 0.0000 0.0000
Ti1 Ti 0.5000 0.5000 0.5000
Se1 Se 0.5000 0.5000 0.0000
Br1 Br 0.0000 0.5000 0.5000
```

## Properties
V (A^3/atom): 28.99

=====

arrangement x is favored, and the nearest alternative lies 1.117 eV/atom above it.

=====

Arrangement w

A relaxed BaTlSeBr crystal, computed with PBE.

The structure in CIF format:
```
data_BaTlSeBr
_symmetry_space_group_name_H-M 'F -4 3 m'
_symmetry_Int_Tables_number 216
_symmetry_space_group_name_Hall 'F -4 2 3'
_cell_length_a 7.9913
_cell_length_b 7.9913
_cell_length_c 7.9913
_cell_angle_alpha 90.00
_cell_angle_beta 90.00
_cell_angle_gamma 90.00
loop_
_atom_site_label
_atom_site_type_symbol
_atom_site_fract_x
_atom_site_fract_y
_atom_site_fract_z
Ba1 Ba 0.0000 0.0000 0.0000
Tl1 Tl 0.0000 0.0000 0.5000
Se1 Se 0.2500 0.2500 0.2500
Br1 Br 0.2500 0.2500 0.7500
```

## Properties
V (A^3/atom): 31.90

=====

Arrangement x

A relaxed BaTlSeBr crystal, computed with PBE.

The structure in CIF format:
```
data_BaTlSeBr
_symmetry_space_group_name_H-M 'R -3 m'
_symmetry_Int_Tables_number 166
_symmetry_space_group_name_Hall '-R 3 2"'
_cell_length_a 4.7422
_cell_length_b 4.7422
_cell_length_c 49.8074
_cell_angle_alpha 90.00
_cell_angle_beta 90.00
_cell_angle_gamma 120.00
loop_
_atom_site_label
_atom_site_type_symbol
_atom_site_fract_x
_atom_site_fract_y
_atom_site_fract_z
Ba1 Ba 0.0000 0.0000 0.0993
Tl1 Tl 0.0000 0.0000 0.3041
Se1 Se 0.0000 0.0000 0.3945
Br1 Br 0.0000 0.0000 0.2002
```

## Properties
V (A^3/atom): 40.42

=====

arrangement x is favored, and the nearest alternative lies 0.071 eV/atom above it.

=====

Arrangement w

A relaxed BaTlSe2Br crystal, computed with PBE.

The structure in CIF format:
```
data_BaTlSe2Br
_symmetry_space_group_name_H-M 'P 4/m m m'
_symmetry_Int_Tables_number 123
_symmetry_space_group_name_Hall '-P 4 2'
_cell_length_a 5.4309
_cell_length_b 5.4309
_cell_length_c 5.7832
_cell_angle_alpha 90.00
_cell_angle_beta 90.00
_cell_angle_gamma 90.00
loop_
_atom_site_label
_atom_site_type_symbol
_atom_site_fract_x
_atom_site_fract_y
_atom_site_fract_z
Ba1 Ba 0.0000 0.0000 0.0000
Tl1 Tl 0.5000 0.5000 0.5000
Se1 Se 0.0000 0.5000 0.5000
Br1 Br 0.5000 0.5000 0.0000
```

## Properties
V (A^3/atom): 34.12

=====

Arrangement x

A relaxed BaTlSe2Br crystal, computed with PBE.

The structure in CIF format:
```
data_BaTlSe2Br
_symmetry_space_group_name_H-M 'P 4/m m m'
_symmetry_Int_Tables_number 123
_symmetry_space_group_name_Hall '-P 4 2'
_cell_length_a 6.2723
_cell_length_b 6.2723
_cell_length_c 6.2739
_cell_angle_alpha 90.00
_cell_angle_beta 90.00
_cell_angle_gamma 90.00
loop_
_atom_site_label
_atom_site_type_symbol
_atom_site_fract_x
_atom_site_fract_y
_atom_site_fract_z
Ba1 Ba 0.0000 0.0000 0.0000
Tl1 Tl 0.5000 0.5000 0.5000
Se1 Se 0.0000 0.5000 0.0000
Br1 Br 0.0000 0.0000 0.5000
```

## Properties
V (A^3/atom): 49.37

=====

Arrangement y

A relaxed BaTlSe2Br crystal, computed with PBE.

The structure in CIF format:
```
data_BaTlSe2Br
_symmetry_space_group_name_H-M 'P 4/m m m'
_symmetry_Int_Tables_number 123
_symmetry_space_group_name_Hall '-P 4 2'
_cell_length_a 5.2755
_cell_length_b 5.2755
_cell_length_c 7.1533
_cell_angle_alpha 90.00
_cell_angle_beta 90.00
_cell_angle_gamma 90.00
loop_
_atom_site_label
_atom_site_type_symbol
_atom_site_fract_x
_atom_site_fract_y
_atom_site_fract_z
Ba1 Ba 0.0000 0.0000 0.0000
Tl1 Tl 0.0000 0.0000 0.5000
Se1 Se 0.0000 0.5000 0.5000
Br1 Br 0.5000 0.5000 0.0000
```

## Properties
V (A^3/atom): 39.82

=====

arrangement w is favored, and the nearest alternative lies 0.346 eV/atom above it.

=====

Arrangement w

A relaxed BaWSeBr2 crystal, computed with PBE.

The structure in CIF format:
```
data_BaWSeBr2
_symmetry_space_group_name_H-M 'P 4/m m m'
_symmetry_Int_Tables_number 123
_symmetry_space_group_name_Hall '-P 4 2'
_cell_length_a 6.1030
_cell_length_b 6.1030
_cell_length_c 6.5054
_cell_angle_alpha 90.00
_cell_angle_beta 90.00
_cell_angle_gamma 90.00
loop_
_atom_site_label
_atom_site_type_symbol
_atom_site_fract_x
_atom_site_fract_y
_atom_site_fract_z
Ba1 Ba 0.0000 0.0000 0.0000
W1 W 0.5000 0.5000 0.5000
Se1 Se 0.0000 0.0000 0.5000
Br1 Br 0.0000 0.5000 0.0000
```

## Properties
V (A^3/atom): 48.46

=====

Arrangement x

A relaxed BaWSeBr2 crystal, computed with PBE.

The structure in CIF format:
```
data_BaWSeBr2
_symmetry_space_group_name_H-M 'P 4/m m m'
_symmetry_Int_Tables_number 123
_symmetry_space_group_name_Hall '-P 4 2'
_cell_length_a 5.3700
_cell_length_b 5.3700
_cell_length_c 4.8856
_cell_angle_alpha 90.00
_cell_angle_beta 90.00
_cell_angle_gamma 90.00
loop_
_atom_site_label
_atom_site_type_symbol
_atom_site_fract_x
_atom_site_fract_y
_atom_site_fract_z
Ba1 Ba 0.0000 0.0000 0.0000
W1 W 0.5000 0.5000 0.5000
Se1 Se 0.5000 0.5000 0.0000
Br1 Br 0.0000 0.5000 0.5000
```

## Properties
V (A^3/atom): 28.18

=====

arrangement x is favored, and the nearest alternative lies 1.154 eV/atom above it.